(1)
The following is a PBE calculation of a relaxed PaMnNb2 crystal, from the Alexandria database.

Properties
- DOS at the Fermi energy (states/eV/cell) = 4.4
- offset from the most stable computed form (meV per atom) = 0
- ΔH_f (0 K) (meV/atom) = 199
- symmetry = No. 123

The structure in POSCAR format:
```
PaMnNb2
1.0
3.373 0.000 0.000
0.000 3.373 0.000
0.000 0.000 6.443
Nb Pa Mn
2 1 1
Cartesian
0.000 0.000 4.948
0.000 0.000 1.495
1.687 1.687 3.221
1.687 1.687 0.000
```


(2)
The following is a PBE calculation of a relaxed Pr6Dy2Ho crystal, from the Alexandria database.

Properties
- DOS at the Fermi energy (states/eV/cell) = 12.3
- offset from the most stable computed form (meV per atom) = 0
- ΔH_f (0 K) (meV/atom) = 128
- symmetry = No. 65

The structure in POSCAR format:
```
Pr6Dy2Ho
1.0
-3.138 -0.751 1.778
5.295 -3.807 7.738
3.177 5.453 7.911
Pr Dy Ho
6 2 1
Cartesian
3.204 -1.071 5.204
2.870 -1.277 12.163
2.129 1.965 12.223
3.057 -1.260 8.682
2.463 2.171 5.264
2.276 2.155 8.745
-0.085 -0.087 3.630
5.418 0.982 13.797
0.000 0.000 0.000
```